Entry 1:
Below is an optimized crystal structure of Ta3TeSe, with properties calculated at the PBE level.

Results
The raw total energy comes out at -7.47 eV per atom. For the raw formation energy, the calculation gives 0.962 eV/atom. The calculation puts the energy above the most stable polymorph in this dataset at 0 meV per atom.

a = 4.7842 Å, b = 4.7842 Å, c = 4.7842 Å
α = 90.00°, β = 90.00°, γ = 90.00°
With the nearest neighbours (Å) after each atom.
Element x y z (fractional)
Se 0.0000 0.0000 0.0000  6 Ta 2.39
Te 0.5000 0.5000 0.5000  12 Ta 3.38
Ta 0.0000 0.5000 0.0000  2 Se 2.39
Ta 0.5000 0.0000 0.0000  2 Se 2.39
Ta 0.0000 0.0000 0.5000  2 Se 2.39

---

Entry 2:
Below is an optimized crystal structure of Sb3NO, with properties calculated at the PBE level.

Results
The raw total energy comes out at -4.20 eV per atom. For the raw formation energy, the calculation gives 0.929 eV/atom. The calculation puts the energy above the most stable polymorph in this dataset at 0 meV per atom.

a = 4.6945 Å, b = 4.6945 Å, c = 4.6945 Å
α = 90.00°, β = 90.00°, γ = 90.00°
With the nearest neighbours (Å) after each atom.
Element x y z (fractional)
N 0.0000 0.0000 0.0000  6 Sb 2.35
Sb 0.5000 0.0000 0.0000  2 N 2.35
Sb 0.0000 0.5000 0.0000  2 N 2.35
Sb 0.0000 0.0000 0.5000  2 N 2.35
O 0.5000 0.5000 0.5000  12 Sb 3.32

---

Entry 3:
Below is an optimized crystal structure of TaAsRu, with properties calculated at the PBE level.

Results
The raw total energy comes out at -8.71 eV per atom. For the energy relative to the elements, the calculation gives -0.12 eV/atom.

a = 4.6516 Å, b = 4.6516 Å, c = 4.6516 Å
α = 142.43°, β = 127.32°, γ = 66.49°
With the nearest neighbours (Å) after each atom.
Element x y z (fractional)
As 0.0006 0.0006 0.0000  1 Ru 2.56, 5 Ta 2.58-2.87
Ta 0.6692 0.6692 0.0000  5 As 2.58-2.87, 5 Ru 2.64-2.84
Ru 0.3302 0.3302 0.0000  1 As 2.56, 5 Ta 2.64-2.84